# K2PuNiO6 | Alexandria via LeMat-Bulk | PBE with a Hubbard U | relaxed
data_K2PuNiO6
_chemical_formula_sum 'K8 Pu4 Ni4 O24'
_symmetry_space_group_name_H-M 'F m -3 m'
_symmetry_Int_Tables_number 225
_symmetry_space_group_name_Hall '-F 4 2 3'
_cell_length_a 8.189
_cell_length_b 8.189
_cell_length_c 8.189
_cell_angle_alpha 90.00
_cell_angle_beta 90.00
_cell_angle_gamma 90.00
loop_
_atom_site_label
_atom_site_fract_x
_atom_site_fract_y
_atom_site_fract_z
K1 0.250 0.250 0.250
Pu1 0.000 0.000 0.000
Ni1 0.000 0.000 0.500
O1 0.000 0.000 0.243
# - Density of states at the Fermi level: 9.17 states/eV/f.u.
# - Total DFT energy (no corrections): -6.678 eV/atom